[1]
YAlZnFe | OQMD via LeMat-Bulk | PBE-GGA | relaxed; space-group type = F-43m (216); electronic total energy = -0.18451 hartree per atom; size of the total moment = 2.17 μB per cell
1.0
0.000 3.252 3.252
3.252 0.000 3.252
3.252 3.252 0.000
Y Al Zn Fe
1 1 1 1
Direct
0.000 0.000 0.000 Y
0.500 0.500 0.500 Al
0.250 0.250 0.250 Zn
0.750 0.750 0.750 Fe

[2]
Al2ZnFe | OQMD via LeMat-Bulk | PBE-GGA | relaxed; space-group type = F-43m (216); electronic total energy = -0.15355 hartree per atom; size of the total moment = 0.94 μB per cell
1.0
0.000 2.998 2.998
2.998 0.000 2.998
2.998 2.998 0.000
Al Zn Fe
2 1 1
Direct
0.000 0.000 0.000 Al
0.250 0.250 0.250 Al
0.500 0.500 0.500 Zn
0.750 0.750 0.750 Fe

[3]
Al2ZnFe | OQMD via LeMat-Bulk | PBE-GGA | relaxed; space-group type = F-43m (216); electronic total energy = -0.15355 hartree per atom; size of the total moment = 0.93 μB per cell
1.0
0.000 2.998 2.998
2.998 0.000 2.998
2.998 2.998 0.000
Al Zn Fe
2 1 1
Direct
0.000 0.000 0.000 Al
0.250 0.250 0.250 Al
0.750 0.750 0.750 Zn
0.500 0.500 0.500 Fe

[4]
AlZnFe | OQMD via LeMat-Bulk | PBE-GGA | relaxed; space-group type = F-43m (216); electronic total energy = -0.15440 hartree per atom; size of the total moment = 1.59 μB per cell
1.0
0.000 2.832 2.832
2.832 0.000 2.832
2.832 2.832 0.000
Al Zn Fe
1 1 1
Direct
0.000 0.000 0.000 Al
0.500 0.500 0.500 Zn
0.250 0.250 0.250 Fe

[5]
AlZnFe | OQMD via LeMat-Bulk | PBE-GGA | relaxed; space-group type = F-43m (216); electronic total energy = -0.14898 hartree per atom; size of the total moment = 2.09 μB per cell
1.0
0.000 2.882 2.882
2.882 0.000 2.882
2.882 2.882 0.000
Al Zn Fe
1 1 1
Direct
0.000 0.000 0.000 Al
0.250 0.250 0.250 Zn
0.750 0.750 0.750 Fe

[6]
ZrAlZnFe | OQMD via LeMat-Bulk | PBE-GGA | relaxed; space-group type = F-43m (216); electronic total energy = -0.20433 hartree per atom; size of the total moment = 1.91 μB per cell
1.0
0.000 3.151 3.151
3.151 0.000 3.151
3.151 3.151 0.000
Zr Al Zn Fe
1 1 1 1
Direct
0.000 0.000 0.000 Zr
0.250 0.250 0.250 Al
0.750 0.750 0.750 Zn
0.500 0.500 0.500 Fe

- Look up the size of the total moment of the fourth one.
  1.59 μB per cell

Copy entry 5 word for word.
AlZnFe | OQMD via LeMat-Bulk | PBE-GGA | relaxed; space-group type = F-43m (216); electronic total energy = -0.14898 hartree per atom; size of the total moment = 2.09 μB per cell
1.0
0.000 2.882 2.882
2.882 0.000 2.882
2.882 2.882 0.000
Al Zn Fe
1 1 1
Direct
0.000 0.000 0.000 Al
0.250 0.250 0.250 Zn
0.750 0.750 0.750 Fe

- Which value of electronic total energy does entry 6 give?
  -0.20433 hartree per atom

Please write out number 3 again, unchanged.
Al2ZnFe | OQMD via LeMat-Bulk | PBE-GGA | relaxed; space-group type = F-43m (216); electronic total energy = -0.15355 hartree per atom; size of the total moment = 0.93 μB per cell
1.0
0.000 2.998 2.998
2.998 0.000 2.998
2.998 2.998 0.000
Al Zn Fe
2 1 1
Direct
0.000 0.000 0.000 Al
0.250 0.250 0.250 Al
0.750 0.750 0.750 Zn
0.500 0.500 0.500 Fe